This record from Alexandria describes crystalline Ba2NiAg2 at its relaxed geometry. The functional is PBE.

Unit cell a=7.966 b=7.966 c=4.778 alpha=90.00 beta=90.00 gamma=90.00
Fractional positions:
Ba1 0.182 0.318 0.000
Ba2 0.318 0.818 0.000
Ba3 0.682 0.182 0.000
Ba4 0.818 0.682 0.000
Ni1 0.000 0.000 0.500
Ni2 0.500 0.500 0.500
Ag1 0.127 0.627 0.500
Ag2 0.373 0.127 0.500
Ag3 0.627 0.873 0.500
Ag4 0.873 0.373 0.500

Values from the calculation:
density	6.02	g/cm3
electronic total energy	-2.97	eV/atom
ΔH_f (0 K)	48.5	kJ/mol of formula units

=====

This record from Alexandria describes crystalline Ba2Ag4Sn3Bi at its relaxed geometry. The functional is PBE.

Unit cell a=4.894 b=4.894 c=11.778 alpha=90.00 beta=90.00 gamma=90.00
Fractional positions:
Ba1 0.000 0.500 0.240
Ba2 0.500 0.000 0.760
Ag1 0.000 0.000 0.000
Ag2 0.000 0.500 0.642
Ag3 0.500 0.000 0.358
Ag4 0.500 0.500 0.000
Sn1 0.000 0.500 0.877
Sn2 0.500 0.000 0.123
Sn3 0.500 0.500 0.500
Bi1 0.000 0.000 0.500

Values from the calculation:
density	7.48	g/cm3
electronic total energy	-3.50	eV/atom
ΔH_f (0 K)	-368.7	kJ/mol of formula units

=====

This record from Alexandria describes crystalline Zr3PPt at its relaxed geometry. The functional is PBE.

Unit cell a=4.790 b=4.790 c=4.790 alpha=90.00 beta=90.00 gamma=90.00
Fractional positions:
Zr1 0.000 0.000 0.500
Zr2 0.000 0.500 0.000
Zr3 0.500 0.000 0.000
P1 0.000 0.000 0.000
Pt1 0.500 0.500 0.500

Values from the calculation:
density	7.55	g/cm3
electronic total energy	-7.81	eV/atom
ΔH_f (0 K)	-189.1	kJ/mol of formula units

=====

This record from Alexandria describes crystalline SrIn3Ni3 at its relaxed geometry. The functional is PBE.

Unit cell a=7.046 b=7.046 c=7.046 alpha=90.00 beta=90.00 gamma=90.00
Fractional positions:
Sr1 0.000 0.000 0.000
Sr2 0.500 0.500 0.500
In1 0.000 0.250 0.500
In2 0.000 0.750 0.500
In3 0.250 0.500 0.000
In4 0.500 0.000 0.250
In5 0.500 0.000 0.750
In6 0.750 0.500 0.000
Ni1 0.000 0.500 0.250
Ni2 0.000 0.500 0.750
Ni3 0.250 0.000 0.500
Ni4 0.500 0.250 0.000
Ni5 0.500 0.750 0.000
Ni6 0.750 0.000 0.500

Values from the calculation:
density	5.77	g/cm3
electronic total energy	-3.75	eV/atom
ΔH_f (0 K)	95.7	kJ/mol of formula units